# 1
# PmTeS2 | Alexandria via LeMat-Bulk | PBE | relaxed
data_PmTeS2
_cell_length_a 4.1330
_cell_length_b 4.1330
_cell_length_c 24.8304
_cell_angle_alpha 90.00
_cell_angle_beta 90.00
_cell_angle_gamma 120.00
_symmetry_space_group_name_H-M 'R -3 m'
_symmetry_Int_Tables_number 166
_symmetry_space_group_name_Hall '-R 3 2"'
loop_
_atom_site_label
_atom_site_type_symbol
_atom_site_fract_x
_atom_site_fract_y
_atom_site_fract_z
Pm1 Pm 0.0000 0.0000 0.0000
Te1 Te 0.0000 0.0000 0.5000
S1 S 0.0000 0.0000 0.3931
# Uncorrected formation energy: -1.078 eV/atom
# Fermi-level density of states: 0.61 states/eV per atom
# Total magnetization: 0.00 μB/atom

---

# 2
# YTc2Rh | Alexandria via LeMat-Bulk | PBE | relaxed
data_YTc2Rh
_cell_length_a 2.843
_cell_length_b 4.014
_cell_length_c 6.203
_cell_angle_alpha 90.00
_cell_angle_beta 90.00
_cell_angle_gamma 90.00
_symmetry_space_group_name_H-M 'P m m m'
_symmetry_Int_Tables_number 47
_symmetry_space_group_name_Hall '-P 2 2'
loop_
_atom_site_label
_atom_site_type_symbol
_atom_site_fract_x
_atom_site_fract_y
_atom_site_fract_z
Y1 Y 0.000 0.000 0.000
Tc1 Tc 0.500 0.500 0.305
Rh1 Rh 0.000 0.000 0.500
# Offset from the most stable computed form: 0.271 eV/atom
# Fermi-level density of states: 1.44 states/eV per atom
# Total magnetization: 0.00 μB/atom

---

# 3
# YZrRe2 | Alexandria via LeMat-Bulk | PBE | relaxed
data_YZrRe2
_cell_length_a 3.292
_cell_length_b 4.784
_cell_length_c 9.870
_cell_angle_alpha 90.00
_cell_angle_beta 90.00
_cell_angle_gamma 90.00
_symmetry_space_group_name_H-M 'I m m 2'
_symmetry_Int_Tables_number 44
_symmetry_space_group_name_Hall 'I 2 -2'
loop_
_atom_site_label
_atom_site_type_symbol
_atom_site_fract_x
_atom_site_fract_y
_atom_site_fract_z
Y1 Y 0.000 0.000 0.000
Zr1 Zr 0.000 0.500 0.775
Re1 Re 0.000 0.000 0.528
Re2 Re 0.000 0.500 0.236
# Offset from the most stable computed form: 0.059 eV/atom
# Fermi-level density of states: 0.92 states/eV per atom
# Total magnetization: 0.00 μB/atom